The following is a PBE calculation of a relaxed structure of Na3Dy3NbS8, from Alexandria.

Structure (POSCAR):
```
Na3Dy3NbS8
1.0
3.892 2.247 6.771
-3.892 2.247 6.771
0.000 -4.494 6.771
Na Dy Nb S
3 3 1 8
Direct
0.000 0.500 0.500 Na
0.500 0.000 0.500 Na
0.500 0.500 0.000 Na
0.000 0.000 0.500 Dy
0.000 0.500 0.000 Dy
0.500 0.000 0.000 Dy
0.500 0.500 0.500 Nb
0.243 0.243 0.243 S
0.261 0.727 0.727 S
0.273 0.273 0.739 S
0.273 0.739 0.273 S
0.727 0.261 0.727 S
0.727 0.727 0.261 S
0.739 0.273 0.273 S
0.757 0.757 0.757 S
```

Size of the total moment: 1.02 μB per formula unit
Density of states at the Fermi level: 4.63 states/eV/cell



The following is a PBE calculation of a relaxed structure of Cs2Ac2PdO6, from Alexandria.

Structure (POSCAR):
```
Cs2Ac2PdO6
1.0
3.174 -5.405 0.000
3.174 5.405 0.000
-1.666 0.000 7.050
Cs Ac Pd O
2 2 1 6
Direct
0.161 0.839 0.000 Cs
0.839 0.161 0.000 Cs
0.336 0.664 0.500 Ac
0.664 0.336 0.500 Ac
0.000 0.000 0.500 Pd
0.040 0.333 0.655 O
0.235 0.235 0.333 O
0.333 0.040 0.655 O
0.667 0.960 0.345 O
0.765 0.765 0.667 O
0.960 0.667 0.345 O
```

Size of the total moment: 0.00 μB per formula unit



The following is a PBE calculation of a relaxed structure of KNbSbTe2, from Alexandria.

Structure (POSCAR):
```
KNbSbTe2
1.0
5.766 0.000 0.000
0.000 5.766 0.000
0.000 0.000 5.500
K Nb Sb Te
1 1 1 2
Direct
0.000 0.000 0.000 K
0.500 0.500 0.500 Nb
0.000 0.000 0.500 Sb
0.000 0.500 0.000 Te
0.500 0.000 0.000 Te
```

Size of the total moment: 0.23 μB per formula unit
Excess energy over the best structure of this formula in the dataset: 1.9584 eV/atom
Density of states at the Fermi level: 9.85 states/eV/cell



The following is a PBE calculation of a relaxed structure of Cs3K4Rb3, from Alexandria.

Structure (POSCAR):
```
Cs3K4Rb3
1.0
5.334 0.000 0.000
0.000 9.238 9.305
0.000 -9.238 9.305
Cs K Rb
3 4 3
Direct
0.000 0.000 0.000 Cs
0.500 0.331 0.827 Cs
0.500 0.827 0.331 Cs
0.500 0.212 0.212 K
0.500 0.456 0.456 K
0.500 0.696 0.948 K
0.500 0.948 0.696 K
0.000 0.160 0.503 Rb
0.000 0.503 0.160 Rb
0.000 0.657 0.657 Rb
```

Size of the total moment: 0.00 μB per formula unit
Density of states at the Fermi level: 9.52 states/eV/cell



The following is a PBE calculation of a relaxed structure of Sr2AcGa4, from Alexandria.

Structure (POSCAR):
```
Sr2AcGa4
1.0
-2.215 2.347 9.873
2.215 -2.347 9.873
2.215 2.347 -9.873
Sr Ac Ga
2 1 4
Direct
0.184 0.184 0.000 Sr
0.816 0.816 0.000 Sr
0.000 0.500 0.500 Ac
0.366 0.366 0.000 Ga
0.435 0.935 0.500 Ga
0.565 0.065 0.500 Ga
0.634 0.634 0.000 Ga
```

Size of the total moment: 0.00 μB per formula unit
Density of states at the Fermi level: 6.29 states/eV/cell



The following is a PBE calculation of a relaxed structure of HfMnPb, from Alexandria.

Structure (POSCAR):
```
HfMnPb
1.0
2.278 -2.277 0.000
2.278 2.277 0.000
-2.272 0.000 12.436
Hf Mn Pb
2 2 2
Direct
0.000 0.000 0.000 Hf
0.124 0.124 0.245 Hf
0.560 0.560 0.116 Mn
0.691 0.691 0.377 Mn
0.268 0.268 0.531 Pb
0.398 0.398 0.797 Pb
```

Size of the total moment: 1.37 μB per formula unit
Excess energy over the best structure of this formula in the dataset: 0.0405 eV/atom
Density of states at the Fermi level: 4.73 states/eV/cell



The following is a PBE calculation of a relaxed structure of Cd2FeTcMo, from Alexandria.

Structure (POSCAR):
```
Cd2FeTcMo
1.0
4.872 0.000 0.000
0.000 4.872 0.000
0.000 0.000 4.287
Cd Fe Tc Mo
2 1 1 1
Direct
0.000 0.500 0.000 Cd
0.500 0.000 0.000 Cd
0.000 0.000 0.000 Fe
0.000 0.000 0.500 Tc
0.500 0.500 0.500 Mo
```

Size of the total moment: 5.19 μB per formula unit
Density of states at the Fermi level: 4.12 states/eV/cell



The following is a PBE calculation of a relaxed structure of SmTmSc2Sb4, from Alexandria.

Structure (POSCAR):
```
SmTmSc2Sb4
1.0
7.416 0.000 0.000
0.000 4.291 0.000
-2.482 0.000 7.001
Sm Tm Sc Sb
1 1 2 4
Direct
0.000 0.000 0.000 Sm
0.000 0.500 0.500 Tm
0.500 0.000 0.500 Sc
0.500 0.500 0.000 Sc
0.265 0.000 0.750 Sb
0.268 0.500 0.260 Sb
0.732 0.500 0.740 Sb
0.735 0.000 0.250 Sb
```

Size of the total moment: 0.00 μB per formula unit
Density of states at the Fermi level: 1.32 states/eV/cell



The following is a PBE calculation of a relaxed structure of RbCaHf2Te, from Alexandria.

Structure (POSCAR):
```
RbCaHf2Te
1.0
5.185 0.000 0.000
0.000 5.185 0.000
0.000 0.000 6.095
Rb Ca Hf Te
1 1 2 1
Direct
0.000 0.000 0.000 Rb
0.500 0.500 0.500 Ca
0.000 0.500 0.000 Hf
0.500 0.000 0.000 Hf
0.000 0.000 0.500 Te
```

Size of the total moment: 0.00 μB per formula unit
Density of states at the Fermi level: 4.54 states/eV/cell



The following is a PBE calculation of a relaxed structure of K2SbBr, from Alexandria.

Structure (POSCAR):
```
K2SbBr
1.0
-1.912 1.921 9.949
1.912 -1.921 9.949
1.912 1.921 -9.949
K Sb Br
2 1 1
Direct
0.000 0.000 0.000 K
0.719 0.219 0.500 K
0.345 0.845 0.500 Sb
0.589 0.589 0.000 Br
```

Size of the total moment: 0.00 μB per formula unit
Excess energy over the best structure of this formula in the dataset: 0.0726 eV/atom
Density of states at the Fermi level: 1.56 states/eV/cell



The following is a PBE calculation of a relaxed structure of Be3HAu, from Alexandria.

Structure (POSCAR):
```
Be3HAu
1.0
3.549 0.000 0.000
0.000 3.549 0.000
0.000 0.000 3.549
Be H Au
3 1 1
Direct
0.000 0.000 0.500 Be
0.000 0.500 0.000 Be
0.500 0.000 0.000 Be
0.000 0.000 0.000 H
0.500 0.500 0.500 Au
```

Size of the total moment: 0.00 μB per formula unit
Excess energy over the best structure of this formula in the dataset: 0.0000 eV/atom
Density of states at the Fermi level: 0.48 states/eV/cell



The following is a PBE calculation of a relaxed structure of ZnNi4Te, from Alexandria.

Structure (POSCAR):
```
ZnNi4Te
1.0
0.000 3.433 3.433
3.433 0.000 3.433
3.433 3.433 0.000
Zn Ni Te
1 4 1
Direct
0.000 0.000 0.000 Zn
0.124 0.625 0.625 Ni
0.625 0.124 0.625 Ni
0.625 0.625 0.124 Ni
0.625 0.625 0.625 Ni
0.250 0.250 0.250 Te
```

Size of the total moment: 0.00 μB per formula unit
Density of states at the Fermi level: 2.80 states/eV/cell



The following is a PBE calculation of a relaxed structure of Co2CuOs, from Alexandria.

Structure (POSCAR):
```
Co2CuOs
1.0
0.000 2.886 2.886
2.886 0.000 2.886
2.886 2.886 0.000
Co Cu Os
2 1 1
Direct
0.000 0.000 0.000 Co
0.250 0.250 0.250 Co
0.750 0.750 0.750 Cu
0.500 0.500 0.500 Os
```

Size of the total moment: 0.11 μB per formula unit
Excess energy over the best structure of this formula in the dataset: 0.2613 eV/atom
Density of states at the Fermi level: 6.01 states/eV/cell



The following is a PBE calculation of a relaxed structure of NiOsRh2, from Alexandria.

Structure (POSCAR):
```
NiOsRh2
1.0
2.700 0.000 0.000
0.000 3.763 0.000
0.000 0.000 5.310
Ni Os Rh
1 1 2
Direct
0.000 0.000 0.000 Ni
0.000 0.000 0.500 Os
0.500 0.500 0.247 Rh
0.500 0.500 0.753 Rh
```

Size of the total moment: 0.00 μB per formula unit
Excess energy over the best structure of this formula in the dataset: 0.0000 eV/atom
Density of states at the Fermi level: 4.40 states/eV/cell



The following is a PBE calculation of a relaxed structure of Tb3Pb2Se, from Alexandria.

Structure (POSCAR):
```
Tb3Pb2Se
1.0
-2.008 3.106 6.977
2.008 -3.106 6.977
2.008 3.106 -6.977
Tb Pb Se
3 2 1
Direct
0.000 0.000 0.000 Tb
0.347 0.347 0.000 Tb
0.653 0.653 0.000 Tb
0.171 0.671 0.500 Pb
0.829 0.329 0.500 Pb
0.500 0.000 0.500 Se
```

Size of the total moment: 0.00 μB per formula unit
Density of states at the Fermi level: 3.19 states/eV/cell



The following is a PBE calculation of a relaxed structure of Ac2La3Sm4, from Alexandria.

Structure (POSCAR):
```
Ac2La3Sm4
1.0
8.687 -6.141 0.000
8.687 6.141 0.000
-0.910 0.000 6.284
Ac La Sm
4 6 8
Direct
0.001 0.235 0.291 Ac
0.235 0.001 0.791 Ac
0.765 0.999 0.209 Ac
0.999 0.765 0.709 Ac
0.149 0.851 0.250 La
0.219 0.461 0.400 La
0.461 0.219 0.900 La
0.539 0.781 0.100 La
0.781 0.539 0.600 La
0.851 0.149 0.750 La
0.101 0.371 0.847 Sm
0.328 0.566 0.961 Sm
0.371 0.101 0.347 Sm
0.434 0.672 0.539 Sm
0.566 0.328 0.461 Sm
0.629 0.899 0.653 Sm
0.672 0.434 0.039 Sm
0.899 0.629 0.153 Sm
```

Size of the total moment: 0.00 μB per formula unit
Density of states at the Fermi level: 30.40 states/eV/cell



The following is a PBE calculation of a relaxed structure of K3Rb6Au, from Alexandria.

Structure (POSCAR):
```
K3Rb6Au
1.0
8.388 0.000 0.000
0.000 13.153 0.000
-8.344 0.000 13.754
K Rb Au
6 12 2
Direct
0.000 0.000 0.000 K
0.000 0.500 0.500 K
0.370 0.056 0.849 K
0.370 0.444 0.349 K
0.630 0.556 0.651 K
0.630 0.944 0.151 K
0.165 0.124 0.295 Rb
0.165 0.376 0.795 Rb
0.173 0.646 0.023 Rb
0.173 0.854 0.523 Rb
0.481 0.706 0.859 Rb
0.481 0.794 0.359 Rb
0.519 0.206 0.641 Rb
0.519 0.294 0.141 Rb
0.827 0.146 0.477 Rb
0.827 0.354 0.977 Rb
0.835 0.624 0.205 Rb
0.835 0.876 0.705 Rb
0.500 0.000 0.500 Au
0.500 0.500 0.000 Au
```

Size of the total moment: 0.00 μB per formula unit
Excess energy over the best structure of this formula in the dataset: 0.0165 eV/atom
Density of states at the Fermi level: 16.90 states/eV/cell



The following is a PBE calculation of a relaxed structure of CeCdAg4, from Alexandria.

Structure (POSCAR):
```
CeCdAg4
1.0
0.000 3.980 3.980
3.980 0.000 3.980
3.980 3.980 0.000
Ce Cd Ag
1 1 4
Direct
0.000 0.000 0.000 Ce
0.750 0.750 0.750 Cd
0.376 0.376 0.376 Ag
0.376 0.376 0.873 Ag
0.376 0.873 0.376 Ag
0.873 0.376 0.376 Ag
```

Size of the total moment: 0.57 μB per formula unit
Density of states at the Fermi level: 6.64 states/eV/cell



The following is a PBE calculation of a relaxed structure of Th8Ga2Co3, from Alexandria.

Structure (POSCAR):
```
Th8Ga2Co3
1.0
7.197 -4.605 0.000
7.197 4.605 0.000
-1.539 0.000 5.418
Th Ga Co
8 2 3
Direct
0.115 0.115 0.934 Th
0.142 0.645 0.559 Th
0.355 0.858 0.441 Th
0.385 0.385 0.058 Th
0.615 0.615 0.942 Th
0.645 0.142 0.559 Th
0.858 0.355 0.441 Th
0.885 0.885 0.066 Th
0.249 0.249 0.492 Ga
0.751 0.751 0.508 Ga
0.235 0.765 0.000 Co
0.500 0.500 0.500 Co
0.765 0.235 0.000 Co
```

Size of the total moment: 0.00 μB per formula unit
Density of states at the Fermi level: 11.22 states/eV/cell



The following is a PBE calculation of a relaxed structure of MgFeNi3, from Alexandria.

Structure (POSCAR):
```
MgFeNi3
1.0
4.316 0.000 0.000
0.000 4.316 0.000
0.000 0.000 4.316
Mg Fe Ni
1 1 3
Direct
0.000 0.000 0.000 Mg
0.500 0.500 0.500 Fe
0.000 0.500 0.500 Ni
0.500 0.000 0.500 Ni
0.500 0.500 0.000 Ni
```

Size of the total moment: 4.53 μB per formula unit
Excess energy over the best structure of this formula in the dataset: 0.0000 eV/atom
Density of states at the Fermi level: 4.00 states/eV/cell



no.,calculated total energy (eV per atom)
1,-5.680
2,-5.956
3,-2.600
4,-0.969
5,-3.307
6,-7.567
7,-4.945
8,-5.812
9,-3.620
10,-2.833
11,-3.469
12,-4.492
13,-6.966
14,-7.891
15,-5.027
16,-4.567
17,-1.279
18,-3.188
19,-6.786
20,-4.815